No. 1
First-principles (PBE) data for a relaxed V3SnS crystal, as listed in the Alexandria database.

Output
SG	No. 221
formation energy without anion corrections	1.461	eV/atom
volume	25.97	Å³ per atom
final energy	-5.6362	eV per atom

abc: 5.064 5.064 5.064
angles: 90.00 90.00 90.00
Fractional positions:
V 0.000 0.000 0.500
V 0.000 0.500 0.000
V 0.500 0.000 0.000
Sn 0.000 0.000 0.000
S 0.500 0.500 0.500

***

No. 2
First-principles (PBE) data for a relaxed PbCl5 crystal, as listed in the Alexandria database.

Output
SG	No. 189
formation energy without anion corrections	-0.081	eV/atom
volume	25.78	Å³ per atom
final energy	-2.2378	eV per atom

abc: 5.192 5.192 6.626
angles: 90.00 90.00 120.00
Fractional positions:
Pb 0.000 0.000 0.000
Cl 0.000 0.692 0.500
Cl 0.308 0.308 0.500
Cl 0.333 0.667 0.000
Cl 0.667 0.333 0.000
Cl 0.692 0.000 0.500